# YNiP2O8

A relaxed YNiP2O8 crystal (GGA+U, Alexandria).

Summary:
**Electronic total energy**: -7.074 eV per atom

Unit cell a=5.3836 b=5.3836 c=6.0282 alpha=90.00 beta=90.00 gamma=120.00
Positions (direct):
Y 0.0000 0.0000 0.0000
Ni 0.0000 0.0000 0.5000
P 0.6667 0.3333 0.3483
P 0.3333 0.6667 0.6517
O 0.8248 0.1752 0.2602
O 0.8248 0.6495 0.2602
O 0.3505 0.1752 0.2602
O 0.6495 0.8248 0.7398
O 0.3333 0.6667 0.3994
O 0.6667 0.3333 0.6006
O 0.1752 0.8248 0.7398
O 0.1752 0.3505 0.7398